Computed, not measured: crystalline SrHF4 at its relaxed geometry at the PBE level of DFT. Values from VASP.

The structure in Quantum ESPRESSO input format:
```
&SYSTEM
  ibrav = 0, nat = 12, ntyp = 3
/
ATOMIC_SPECIES
Sr 87.62 Sr.upf
H 1.01 H.upf
F 19.00 F.upf
ATOMIC_POSITIONS crystal
Sr 0.000 0.000 0.000
Sr 0.750 0.250 0.500
H 0.461 0.961 0.500
H 0.711 0.711 0.000
F 0.002 0.363 0.360
F 0.002 0.642 0.640
F 0.113 0.252 0.860
F 0.323 0.982 0.340
F 0.392 0.252 0.140
F 0.642 0.982 0.660
F 0.732 0.573 0.840
F 0.732 0.892 0.160
CELL_PARAMETERS angstrom
-3.534 3.534 4.538
3.534 -3.534 4.538
3.534 3.534 -4.538
```

The calculation puts the relative energy among the computed polymorphs at 65 meV per atom. Its total magnetization is 2.01 μB/cell. The calculation puts the total energy at -4.47 eV per atom. The symmetry is I4_1md.


Computed, not measured: crystalline Sr2HF5 at its relaxed geometry at the PBE level of DFT. Values from VASP.

The structure in Quantum ESPRESSO input format:
```
&SYSTEM
  ibrav = 0, nat = 16, ntyp = 3
/
ATOMIC_SPECIES
Sr 87.62 Sr.upf
H 1.01 H.upf
F 19.00 F.upf
ATOMIC_POSITIONS crystal
Sr 0.000 0.500 0.000
Sr 0.000 0.500 0.500
Sr 0.500 0.000 0.000
Sr 0.500 0.000 0.500
H 0.000 0.000 0.342
H 0.500 0.500 0.842
F 0.000 0.000 0.485
F 0.244 0.244 0.240
F 0.244 0.756 0.240
F 0.256 0.256 0.740
F 0.256 0.744 0.740
F 0.500 0.500 0.985
F 0.744 0.256 0.740
F 0.744 0.744 0.740
F 0.756 0.244 0.240
F 0.756 0.756 0.240
CELL_PARAMETERS angstrom
5.641 0.000 0.000
0.000 5.641 0.000
0.000 0.000 6.793
```

Its total magnetization is 0.00 μB/cell. The calculation puts the total energy at -5.15 eV per atom. The symmetry is I4mm.